## MgTe2BrN (SCAN)

Data for MgTe2BrN at its PBEsol-relaxed geometry.

Cell and atoms, written as POSCAR:
```
MgTe2BrN
1.0
5.7700 0.0000 0.0000
0.0000 5.7700 0.0000
0.0000 0.0000 3.6760
Mg Te Br N
1 2 1 1
Direct
0.0000 0.0000 0.0000
0.0000 0.5000 0.5000
0.5000 0.0000 0.5000
0.5000 0.5000 0.5000
0.5000 0.5000 0.0000
```

Calculated values
E_tot   -102.7 eV for the cell shown
ΔE_f (raw)   5.55 eV per formula unit